First-principles (PBE) data for a geometry-optimized K2LaMg3F12 structure, as listed in Alexandria via LeMat-Bulk.

Cell lengths 6.985, 6.985, 6.985 Å; angles 64.90, 64.90, 64.90 degrees
Positions (direct):
K 0.607 0.607 0.607
K 0.393 0.393 0.393
La 0.000 0.000 0.000
Mg 0.500 0.000 0.000
Mg 0.000 0.500 0.000
Mg 0.000 0.000 0.500
F 0.266 0.266 0.895
F 0.863 0.863 0.407
F 0.407 0.863 0.863
F 0.895 0.266 0.266
F 0.863 0.407 0.863
F 0.266 0.895 0.266
F 0.734 0.734 0.105
F 0.137 0.137 0.593
F 0.593 0.137 0.137
F 0.105 0.734 0.734
F 0.137 0.593 0.137
F 0.734 0.105 0.734

- D(E_F): 8.80 states/eV/cell
- Density: 3.22 g cm⁻³
- DFT total energy: -5.198 eV/atom